[1]
# PBE-GGA PrAl2Cu2Si, relaxed
data_PrAl2Cu2Si
_cell_length_a 4.4724
_cell_length_b 4.4724
_cell_length_c 5.6318
_cell_angle_alpha 90.00
_cell_angle_beta 90.00
_cell_angle_gamma 90.00
_symmetry_space_group_name_H-M 'P 1'
_symmetry_Int_Tables_number 1
_symmetry_space_group_name_Hall 'P 1'
loop_
_atom_site_label
_atom_site_type_symbol
_atom_site_fract_x
_atom_site_fract_y
_atom_site_fract_z
Pr1 Pr 0.0000 0.0000 0.5000
Cu1 Cu 0.0000 0.5000 0.0000
Cu2 Cu 0.5000 0.0000 0.0000
Si1 Si 0.0000 0.0000 0.0000
Al1 Al 0.5000 0.5000 0.2646
Al2 Al 0.5000 0.5000 0.7354
# Size of the total moment, μB/atom: 0.000
# Space-group type: P4/mmm
# Formation energy from raw total energies, eV per atom: -0.119

[2]
# PBE-GGA CePmTl3, relaxed
data_CePmTl3
_cell_length_a 8.2290
_cell_length_b 8.2290
_cell_length_c 10.8600
_cell_angle_alpha 90.00
_cell_angle_beta 90.00
_cell_angle_gamma 105.00
_symmetry_space_group_name_H-M 'P 1'
_symmetry_Int_Tables_number 1
_symmetry_space_group_name_Hall 'P 1'
loop_
_atom_site_label
_atom_site_type_symbol
_atom_site_fract_x
_atom_site_fract_y
_atom_site_fract_z
Tl1 Tl 0.3829 0.6171 0.5000
Tl2 Tl 0.8382 0.5764 0.2500
Tl3 Tl 0.5764 0.8382 0.2500
Tl4 Tl 0.1905 0.1905 0.5011
Tl5 Tl 0.1618 0.4236 0.7500
Tl6 Tl 0.6171 0.3829 0.0000
Tl7 Tl 0.6171 0.3829 0.5000
Tl8 Tl 0.1905 0.1905 0.9989
Tl9 Tl 0.8095 0.8095 0.4989
Tl10 Tl 0.8095 0.8095 0.0011
Tl11 Tl 0.4236 0.1618 0.7500
Tl12 Tl 0.3829 0.6171 0.0000
Pm1 Pm 0.0000 0.5000 0.5000
Pm2 Pm 0.5000 0.0000 0.0000
Pm3 Pm 0.0000 0.5000 0.0000
Pm4 Pm 0.5000 0.0000 0.5000
Ce1 Ce 0.0076 0.0076 0.2500
Ce2 Ce 0.9924 0.9924 0.7500
Ce3 Ce 0.6005 0.6005 0.7500
Ce4 Ce 0.3995 0.3995 0.2500
# Size of the total moment, μB/atom: 0.273
# Space-group type: Cmcm
# ΔH_f (0 K), kJ per mole of atoms: 8

[3]
# PBE-GGA PtSe2Cl, relaxed
data_PtSe2Cl
_cell_length_a 11.6387
_cell_length_b 11.6387
_cell_length_c 11.6387
_cell_angle_alpha 14.28
_cell_angle_beta 14.28
_cell_angle_gamma 14.28
_symmetry_space_group_name_H-M 'P 1'
_symmetry_Int_Tables_number 1
_symmetry_space_group_name_Hall 'P 1'
loop_
_atom_site_label
_atom_site_type_symbol
_atom_site_fract_x
_atom_site_fract_y
_atom_site_fract_z
Se1 Se 0.0705 0.0705 0.0705
Se2 Se 0.9295 0.9295 0.9295
Pt1 Pt 0.0000 0.0000 0.0000
Cl1 Cl 0.5000 0.5000 0.5000
# Size of the total moment, μB/atom: 0.000
# Space-group type: R-3m
# Formation energy from raw total energies, eV per atom: 0.134

[4]
# PBE-GGA BaCa2In, relaxed
data_BaCa2In
_cell_length_a 5.4517
_cell_length_b 3.9758
_cell_length_c 7.6294
_cell_angle_alpha 73.46
_cell_angle_beta 90.00
_cell_angle_gamma 90.00
_symmetry_space_group_name_H-M 'P 1'
_symmetry_Int_Tables_number 1
_symmetry_space_group_name_Hall 'P 1'
loop_
_atom_site_label
_atom_site_type_symbol
_atom_site_fract_x
_atom_site_fract_y
_atom_site_fract_z
Ba1 Ba 0.5000 0.7500 0.7500
In1 In 0.5000 0.2500 0.2500
Ca1 Ca 0.0000 0.4243 0.4601
Ca2 Ca 0.0000 0.0757 0.0399
# Size of the total moment, μB/atom: 0.002
# Space-group type: P2/m
# ΔH_f (0 K), kJ per mole of atoms: -12

[5]
# PBE-GGA Rb2LiHg2I6, relaxed
data_Rb2LiHg2I6
_cell_length_a 8.6482
_cell_length_b 8.5789
_cell_length_c 9.1315
_cell_angle_alpha 116.55
_cell_angle_beta 90.00
_cell_angle_gamma 120.27
_symmetry_space_group_name_H-M 'P 1'
_symmetry_Int_Tables_number 1
_symmetry_space_group_name_Hall 'P 1'
loop_
_atom_site_label
_atom_site_type_symbol
_atom_site_fract_x
_atom_site_fract_y
_atom_site_fract_z
I1 I 0.6654 0.8770 0.2138
I2 I 0.3346 0.1230 0.7862
I3 I 0.7351 0.4702 0.5994
I4 I 0.2116 0.8770 0.2138
I5 I 0.2649 0.5298 0.4006
I6 I 0.7884 0.1230 0.7862
Hg1 Hg 0.9582 0.9165 0.8199
Hg2 Hg 0.0418 0.0835 0.1801
Rb1 Rb 0.2706 0.5411 0.8054
Rb2 Rb 0.7294 0.4589 0.1946
Li1 Li 0.5000 0.0000 0.5000
# Size of the total moment, μB/atom: 0.000
# Space-group type: C2/m
# Formation energy from raw total energies, eV per atom: -0.813

[6]
# PBE-GGA Cs2MgTaS4, relaxed
data_Cs2MgTaS4
_cell_length_a 6.2812
_cell_length_b 7.8498
_cell_length_c 12.9361
_cell_angle_alpha 84.43
_cell_angle_beta 75.95
_cell_angle_gamma 66.42
_symmetry_space_group_name_H-M 'P 1'
_symmetry_Int_Tables_number 1
_symmetry_space_group_name_Hall 'P 1'
loop_
_atom_site_label
_atom_site_type_symbol
_atom_site_fract_x
_atom_site_fract_y
_atom_site_fract_z
S1 S 0.8753 0.8183 0.9009
S2 S 0.3064 0.8183 0.0991
S3 S 0.2238 0.1817 0.9009
S4 S 0.5945 0.1817 0.0991
S5 S 0.5262 0.3183 0.5991
S6 S 0.8747 0.6817 0.5991
S7 S 0.4436 0.6817 0.4009
S8 S 0.1555 0.3183 0.4009
Mg1 Mg 0.7500 0.5000 0.5000
Mg2 Mg 0.0000 0.0000 0.0000
Ta1 Ta 0.5000 0.0000 0.0000
Ta2 Ta 0.2500 0.5000 0.5000
Cs1 Cs 0.9259 0.5000 0.1482
Cs2 Cs 0.8241 0.0000 0.3518
Cs3 Cs 0.5741 0.5000 0.8518
Cs4 Cs 0.1759 0.0000 0.6482
# Size of the total moment, μB/atom: 0.000
# Space-group type: Fddd
# Formation energy from raw total energies, eV per atom: -1.148

[7]
# PBE-GGA Rb2CrAs2Se6, relaxed
data_Rb2CrAs2Se6
_cell_length_a 7.3396
_cell_length_b 7.3710
_cell_length_c 7.9041
_cell_angle_alpha 114.47
_cell_angle_beta 90.00
_cell_angle_gamma 119.86
_symmetry_space_group_name_H-M 'P 1'
_symmetry_Int_Tables_number 1
_symmetry_space_group_name_Hall 'P 1'
loop_
_atom_site_label
_atom_site_type_symbol
_atom_site_fract_x
_atom_site_fract_y
_atom_site_fract_z
Se1 Se 0.3095 0.0675 0.7683
Se2 Se 0.6905 0.9325 0.2317
Se3 Se 0.7580 0.0675 0.7683
Se4 Se 0.7335 0.4669 0.7260
Se5 Se 0.2420 0.9325 0.2317
Se6 Se 0.2665 0.5331 0.2740
Rb1 Rb 0.7267 0.4535 0.2247
Rb2 Rb 0.2733 0.5465 0.7753
As1 As 0.9410 0.8820 0.8025
As2 As 0.0590 0.1180 0.1975
Cr1 Cr 0.5000 0.0000 0.5000
# Size of the total moment, μB/atom: 0.293
# Space-group type: C2/m
# Formation energy from raw total energies, eV per atom: -0.409

[8]
# PBE-GGA Hf5Al3, relaxed
data_Hf5Al3
_cell_length_a 5.3846
_cell_length_b 8.1562
_cell_length_c 8.1562
_cell_angle_alpha 83.74
_cell_angle_beta 70.73
_cell_angle_gamma 70.73
_symmetry_space_group_name_H-M 'P 1'
_symmetry_Int_Tables_number 1
_symmetry_space_group_name_Hall 'P 1'
loop_
_atom_site_label
_atom_site_type_symbol
_atom_site_fract_x
_atom_site_fract_y
_atom_site_fract_z
Hf1 Hf 0.2201 0.7021 0.8577
Hf2 Hf 0.9222 0.8577 0.2979
Hf3 Hf 0.2500 0.5000 0.5000
Hf4 Hf 0.0778 0.1423 0.7021
Hf5 Hf 0.7500 0.5000 0.5000
Hf6 Hf 0.5778 0.7021 0.1423
Hf7 Hf 0.7799 0.2979 0.1423
Hf8 Hf 0.2799 0.1423 0.2979
Hf9 Hf 0.7201 0.8577 0.7021
Hf10 Hf 0.4222 0.2979 0.8577
Al1 Al 0.3357 0.8287 0.5000
Al2 Al 0.1644 0.5000 0.1713
Al3 Al 0.8356 0.5000 0.8287
Al4 Al 0.2500 0.0000 0.0000
Al5 Al 0.6643 0.1713 0.5000
Al6 Al 0.7500 0.0000 0.0000
# Size of the total moment, μB/atom: 0.074
# Space-group type: I4/mcm
# ΔH_f (0 K), kJ per mole of atoms: -29

[9]
# PBE-GGA Ba5As2PtO, relaxed
data_Ba5As2PtO
_cell_length_a 4.7483
_cell_length_b 9.8842
_cell_length_c 13.5146
_cell_angle_alpha 90.00
_cell_angle_beta 90.00
_cell_angle_gamma 103.90
_symmetry_space_group_name_H-M 'P 1'
_symmetry_Int_Tables_number 1
_symmetry_space_group_name_Hall 'P 1'
loop_
_atom_site_label
_atom_site_type_symbol
_atom_site_fract_x
_atom_site_fract_y
_atom_site_fract_z
As1 As 0.1372 0.2743 0.3281
As2 As 0.8901 0.7803 0.1904
As3 As 0.1099 0.2197 0.6904
As4 As 0.8628 0.7257 0.8281
Ba1 Ba 0.6654 0.3309 0.8718
Ba2 Ba 0.5147 0.0293 0.2654
Ba3 Ba 0.7137 0.4275 0.1875
Ba4 Ba 0.2863 0.5725 0.6875
Ba5 Ba 0.4853 0.9707 0.7654
Ba6 Ba 0.3346 0.6691 0.3718
Ba7 Ba 0.9801 0.9602 0.5051
Ba8 Ba 0.0199 0.0398 0.0051
Ba9 Ba 0.3481 0.6962 0.0089
Ba10 Ba 0.6519 0.3038 0.5089
Pt1 Pt 0.8125 0.6250 0.5325
Pt2 Pt 0.1875 0.3750 0.0325
O1 O 0.4663 0.9325 0.4342
O2 O 0.5337 0.0675 0.9342
# Size of the total moment, μB/atom: 0.000
# Space-group type: Cmc2_1
# Formation energy from raw total energies, eV per atom: -1.297

[10]
# PBE-GGA In2HgBi2, relaxed
data_In2HgBi2
_cell_length_a 5.9990
_cell_length_b 5.1207
_cell_length_c 7.1399
_cell_angle_alpha 111.47
_cell_angle_beta 90.00
_cell_angle_gamma 125.86
_symmetry_space_group_name_H-M 'P 1'
_symmetry_Int_Tables_number 1
_symmetry_space_group_name_Hall 'P 1'
loop_
_atom_site_label
_atom_site_type_symbol
_atom_site_fract_x
_atom_site_fract_y
_atom_site_fract_z
In1 In 0.1724 0.3448 0.7072
In2 In 0.8276 0.6552 0.2928
Bi1 Bi 0.4439 0.8878 0.2548
Bi2 Bi 0.5561 0.1122 0.7452
Hg1 Hg 0.0000 0.0000 0.0000
# Size of the total moment, μB/atom: 0.000
# Space-group type: C2/m
# ΔH_f (0 K), kJ per mole of atoms: 6

[11]
# PBE-GGA CaAs2Pb, relaxed
data_CaAs2Pb
_cell_length_a 4.1307
_cell_length_b 4.1307
_cell_length_c 6.3506
_cell_angle_alpha 90.00
_cell_angle_beta 90.00
_cell_angle_gamma 90.00
_symmetry_space_group_name_H-M 'P 1'
_symmetry_Int_Tables_number 1
_symmetry_space_group_name_Hall 'P 1'
loop_
_atom_site_label
_atom_site_type_symbol
_atom_site_fract_x
_atom_site_fract_y
_atom_site_fract_z
As1 As 0.5000 0.5000 0.3666
As2 As 0.0000 0.0000 0.9216
Pb1 Pb 0.5000 0.5000 0.8056
Ca1 Ca 0.0000 0.0000 0.4062
# Size of the total moment, μB/atom: 0.000
# Space-group type: P4mm
# ΔH_f (0 K), kJ per mole of atoms: -35

[12]
# PBE-GGA Tb3Nd4PuTe8, relaxed
data_Tb3Nd4PuTe8
_cell_length_a 8.8517
_cell_length_b 8.9196
_cell_length_c 8.8515
_cell_angle_alpha 119.74
_cell_angle_beta 120.00
_cell_angle_gamma 90.00
_symmetry_space_group_name_H-M 'P 1'
_symmetry_Int_Tables_number 1
_symmetry_space_group_name_Hall 'P 1'
loop_
_atom_site_label
_atom_site_type_symbol
_atom_site_fract_x
_atom_site_fract_y
_atom_site_fract_z
Nd1 Nd 0.5000 0.0000 0.5000
Nd2 Nd 0.0000 0.0000 0.5000
Nd3 Nd 0.5000 0.0000 0.0000
Nd4 Nd 0.0000 0.0000 0.0000
Te1 Te 0.7454 0.7409 0.9932
Te2 Te 0.2546 0.2591 0.0068
Te3 Te 0.2535 0.2604 0.5069
Te4 Te 0.2477 0.7408 0.4954
Te5 Te 0.7465 0.7396 0.4931
Te6 Te 0.2477 0.7409 0.9932
Te7 Te 0.7523 0.2592 0.5046
Te8 Te 0.7523 0.2591 0.0068
Tb1 Tb 0.0000 0.5000 0.5000
Tb2 Tb 0.5000 0.5000 0.5000
Tb3 Tb 0.5000 0.5000 0.0000
Pu1 Pu 0.0000 0.5000 0.0000
# Size of the total moment, μB/atom: 0.375
# Space-group type: R-3m
# Formation energy from raw total energies, eV per atom: -1.349